# Tc4HgW (PBE, relaxed)
data_Tc4HgW
_space_group_name_H-M_alt 'P 1'
_space_group_IT_number 1
_cell_length_a 5.153
_cell_length_b 5.153
_cell_length_c 5.153
_cell_angle_alpha 60.00
_cell_angle_beta 60.00
_cell_angle_gamma 60.00
loop_
_space_group_symop_operation_xyz
'x,y,z'
loop_
_atom_site_label
_atom_site_fract_x
_atom_site_fract_y
_atom_site_fract_z
Tc1 0.376 0.376 0.376
Tc2 0.376 0.376 0.873
Tc3 0.376 0.873 0.376
Tc4 0.873 0.376 0.376
Hg1 0.750 0.750 0.750
W1 0.000 0.000 0.000
# uncorrected energy	-8.68	eV/atom
# symmetry	F-43m, No. 216
# DOS at the Fermi energy	0.8994	states/eV/atom
# size of the total moment	0.0	Bohr magnetons per cell
# energy of formation	0.4426	eV/atom



# NaAcErTl (PBE, relaxed)
data_NaAcErTl
_space_group_name_H-M_alt 'P 1'
_space_group_IT_number 1
_cell_length_a 7.992
_cell_length_b 7.992
_cell_length_c 7.992
_cell_angle_alpha 90.00
_cell_angle_beta 90.00
_cell_angle_gamma 90.00
loop_
_space_group_symop_operation_xyz
'x,y,z'
loop_
_atom_site_label
_atom_site_fract_x
_atom_site_fract_y
_atom_site_fract_z
Na1 0.000 0.000 0.000
Na2 0.000 0.500 0.500
Na3 0.500 0.000 0.500
Na4 0.500 0.500 0.000
Ac1 0.250 0.250 0.250
Ac2 0.250 0.750 0.750
Ac3 0.750 0.250 0.750
Ac4 0.750 0.750 0.250
Er1 0.250 0.250 0.750
Er2 0.250 0.750 0.250
Er3 0.750 0.250 0.250
Er4 0.750 0.750 0.750
Tl1 0.000 0.000 0.500
Tl2 0.000 0.500 0.000
Tl3 0.500 0.000 0.000
Tl4 0.500 0.500 0.500
# uncorrected energy	-3.12	eV/atom
# symmetry	F-43m, No. 216
# DOS at the Fermi energy	1.0188	states/eV/atom
# size of the total moment	0.0	Bohr magnetons per cell
# energy of formation	-0.0329	eV/atom